Entry 1:
Pm5DyN6 PBE-GGA optimized geometry; calculated total energy = -8.00 eV per atom; energy relative to the elements, uncorrected = -1474 meV per atom; Fermi-level density of states = 0.53 states/eV/cell
1.0
-0.981 -1.558 5.941
3.681 3.413 3.673
-2.000 5.469 2.189
N Dy Pm
6 1 5
direct
0.753 0.082 0.328
0.247 0.590 0.328
0.248 0.245 0.000
0.752 0.755 0.000
0.753 0.410 0.672
0.247 0.918 0.672
0.000 0.000 0.000
0.500 0.166 0.668
0.000 0.333 0.334
0.500 0.500 0.000
0.000 0.667 0.666
0.500 0.834 0.332

Entry 2:
Ac5Ru4 PBE-GGA optimized geometry; calculated total energy = -6.48 eV per atom; energy of formation from the pure elements = -0.074 eV/atom; Fermi-level density of states = 7.73 states/eV/cell
1.0
4.404 0.000 0.000
2.202 6.126 0.135
2.202 2.214 9.934
Ac Ru
5 4
direct
0.106 0.183 0.605
0.894 0.817 0.395
0.768 0.638 0.825
0.232 0.362 0.175
0.000 0.000 0.000
0.448 0.261 0.843
0.552 0.739 0.157
0.431 0.522 0.617
0.569 0.478 0.383

Entry 3:
SrReBrO4 PBE-GGA optimized geometry; calculated total energy = -7.12 eV per atom; energy relative to the elements, uncorrected = -2026 meV per atom; Fermi-level density of states = 0.00 states/eV/cell
1.0
6.754 -0.052 -0.015
2.188 6.390 -0.015
1.801 1.276 7.270
Sr Re Br O
2 2 2 8
direct
0.216 0.216 0.858
0.784 0.784 0.142
0.631 0.631 0.738
0.369 0.369 0.262
0.031 0.031 0.241
0.969 0.969 0.759
0.305 0.305 0.500
0.695 0.695 0.500
0.140 0.500 0.163
0.535 0.535 0.208
0.500 0.860 0.837
0.500 0.140 0.163
0.465 0.465 0.792
0.860 0.500 0.837